Material: InBiO2
Method: DFT, PBE-GGA
State: optimized geometry

Values from the calculation:
Energy relative to the elements, uncorrected   -1.055 eV per atom
Final energy   -5.19 eV per atom

Cell and atoms, written as CIF:
```
data_InBiO2
_chemical_formula_sum 'In1 Bi1 O2'
_cell_length_a 3.9145
_cell_length_b 3.9145
_cell_length_c 4.9935
_cell_angle_alpha 90.00
_cell_angle_beta 90.00
_cell_angle_gamma 90.00
_symmetry_space_group_name_H-M 'P 4 m m'
_symmetry_Int_Tables_number 99
loop_
_symmetry_equiv_pos_as_xyz
'x,y,z'
'-y,x,z'
'-x,-y,z'
'y,-x,z'
'-x,y,z'
'y,x,z'
'x,-y,z'
'-y,-x,z'
loop_
_atom_site_label
_atom_site_fract_x
_atom_site_fract_y
_atom_site_fract_z
In1 0.0000 0.0000 0.0000
Bi1 0.5000 0.5000 0.5179
O1 0.0000 0.5000 0.7475
```